# 1
Computed, not measured: an optimized crystal structure of La2PAu2 at the PBE level of DFT.

Properties
* ΔH_f (0 K): -743 meV/atom
* magnetization: 0.00 μB/f.u.
* relative energy among the computed polymorphs: 0.0 meV/atom
* energy: -5.11 eV/atom

abc: 8.0072 8.0072 4.3281
angles: 90.00 90.00 90.00
Last column: nearest neighbours and their distance in Å.
Positions (direct):
P (0.5000, 0.5000, 0.0000)  4 La 2.95
P (0.0000, 0.0000, 0.0000)  4 La 2.95
La (0.3221, 0.8221, 0.0000)  2 P 2.95, 6 Au 3.11-3.28
La (0.6779, 0.1779, 0.0000)  2 P 2.95, 6 Au 3.11-3.28
La (0.1779, 0.3221, 0.0000)  2 P 2.95, 6 Au 3.11-3.28
La (0.8221, 0.6779, 0.0000)  2 P 2.95, 6 Au 3.11-3.28
Au (0.1252, 0.6252, 0.5000)  1 Au 2.83, 2 La 3.11
Au (0.3748, 0.1252, 0.5000)  1 Au 2.83, 2 La 3.11
Au (0.6252, 0.8748, 0.5000)  1 Au 2.83, 2 La 3.11
Au (0.8748, 0.3748, 0.5000)  1 Au 2.83, 2 La 3.11

# 2
Computed, not measured: an optimized crystal structure of La4Pd3Ru at the PBE level of DFT.

Properties
* ΔH_f (0 K): -678 meV/atom
* magnetization: 0.00 μB/f.u.
* energy: -6.25 eV/atom

abc: 3.9573 4.6606 10.8957
angles: 90.00 90.00 90.00
Last column: nearest neighbours and their distance in Å.
Positions (direct):
La (0.0000, 0.0000, 0.1357)  3 Pd 3.07-3.15, 4 Ru 3.08
La (0.5000, 0.5000, 0.3436)  1 Ru 2.64
La (0.0000, 0.5000, 0.8746)  5 Pd 3.08-3.15, 2 Ru 3.16
La (0.5000, 0.0000, 0.6314)  7 Pd 3.05-3.10
Ru (0.5000, 0.5000, 0.1012)  1 La 2.64
Pd (0.0000, 0.5000, 0.5851)  2 Pd 2.96, 7 La 3.10-3.29
Pd (0.5000, 0.0000, 0.9112)  7 La 3.05-3.15, 2 Ru 3.12
Pd (0.0000, 0.0000, 0.4171)  2 Pd 2.96, 7 La 3.06-3.16

# 3
Computed, not measured: an optimized crystal structure of TlCrAg2 at the PBE level of DFT.

Properties
* ΔH_f (0 K): 413 meV/atom
* magnetization: 3.91 μB/f.u.
* energy: -4.01 eV/atom

abc: 5.0588 5.8750 3.0422
angles: 75.94 87.88 114.90
Last column: nearest neighbours and their distance in Å.
Positions (direct):
Ag (0.5000, 0.0000, 0.5000)  6 Ag 2.90-3.04, 2 Cr 2.96, 2 Tl 2.96
Ag (0.0000, 0.0000, 0.0000)  6 Ag 2.90-3.04, 2 Tl 2.96, 2 Cr 2.96
Cr (0.0000, 0.5000, 0.5000)  4 Tl 2.90-3.00, 4 Ag 2.96, 2 Cr 3.04
Tl (0.5000, 0.5000, 0.0000)  4 Cr 2.90-3.00, 4 Ag 2.96, 2 Tl 3.04

# 4
Computed, not measured: an optimized crystal structure of NbV2Ru at the PBE level of DFT.

Properties
* ΔH_f (0 K): -190 meV/atom
* magnetization: 0.00 μB/f.u.
* energy: -9.59 eV/atom

abc: 3.0572 3.0572 12.5893
angles: 90.00 90.01 90.00
Last column: nearest neighbours and their distance in Å.
Positions (direct):
V (0.7507, 0.7500, 0.2986)  4 Ru 2.65, 4 Nb 2.71
V (0.2493, 0.2500, 0.7014)  4 Ru 2.65, 4 Nb 2.71
V (0.7502, 0.7500, 0.0584)  4 V 2.61-2.62, 4 Ru 2.63
V (0.2498, 0.2500, 0.9416)  4 V 2.61-2.62, 4 Ru 2.63
Nb (0.7497, 0.7500, 0.5721)  4 V 2.71, 4 Nb 2.82
Nb (0.2503, 0.2500, 0.4279)  4 V 2.71, 4 Nb 2.82
Ru (0.7494, 0.7500, 0.8227)  8 V 2.63-2.65
Ru (0.2506, 0.2500, 0.1773)  8 V 2.63-2.65

# 5
Computed, not measured: an optimized crystal structure of CdTc2Ir at the PBE level of DFT.

Properties
* ΔH_f (0 K): 255 meV/atom
* magnetization: 0.00 μB/f.u.
* energy: -7.37 eV/atom

abc: 4.8483 4.8483 4.9719
angles: 79.65 79.65 33.53
Last column: nearest neighbours and their distance in Å.
Positions (direct):
Cd (0.4977, 0.4977, 0.5096)  3 Ir 2.76-2.88, 2 Cd 2.80, 7 Tc 2.82-2.98
Tc (0.2626, 0.2626, 0.2094)  5 Tc 2.66-2.80, 2 Ir 2.66, 1 Cd 2.87
Tc (0.0029, 0.0029, 0.0154)  5 Tc 2.66-2.80, 3 Ir 2.68-2.96, 4 Cd 2.82-2.89
Ir (0.7369, 0.7369, 0.7656)  5 Tc 2.66-2.96, 3 Cd 2.76-2.88, 2 Ir 2.80

# 6
Computed, not measured: an optimized crystal structure of BeHg2Cl at the PBE level of DFT.

Properties
* energy relative to the elements, uncorrected: 54 meV per atom
* magnetization: 0.00 μB/f.u.
* relative energy among the computed polymorphs: 254.5 meV/atom
* energy: -1.49 eV/atom

abc: 3.5937 3.5937 7.7199
angles: 76.31 76.31 59.84
Last column: nearest neighbours and their distance in Å.
Positions (direct):
Hg (0.0146, 0.0146, 0.9561)  3 Be 2.57-2.58
Hg (0.4854, 0.4854, 0.5439)  3 Be 2.57-2.58
Cl (0.2500, 0.2500, 0.2500)  6 Hg 3.01-3.02
Be (0.7500, 0.7500, 0.7500)  6 Hg 2.57-2.58

# 7
Computed, not measured: an optimized crystal structure of Pr2AuCl at the PBE level of DFT.

Properties
* energy relative to the elements, uncorrected: -1102 meV per atom
* magnetization: 0.00 μB/f.u.
* relative energy among the computed polymorphs: 0.0 meV/atom
* energy: -4.77 eV/atom

abc: 4.2382 4.2413 12.3362
angles: 90.00 90.00 90.00
Last column: nearest neighbours and their distance in Å.
Positions (direct):
Pr (0.5000, 0.4994, 0.8750)  4 Cl 3.00, 2 Au 3.08
Pr (0.5000, 0.5006, 0.3750)  4 Cl 3.00, 2 Au 3.08
Pr (0.0000, 0.0001, 0.1250)  4 Au 3.00, 2 Cl 3.08
Pr (0.0000, 0.9999, 0.6250)  4 Au 3.00, 2 Cl 3.08
Au (0.5000, 0.4998, 0.6250)  6 Pr 3.00-3.08
Au (0.5000, 0.5002, 0.1250)  6 Pr 3.00-3.08
Cl (0.0000, 0.0005, 0.3750)  6 Pr 3.00-3.08
Cl (0.0000, 0.9995, 0.8750)  6 Pr 3.00-3.08

# 8
Computed, not measured: an optimized crystal structure of DyScGa at the PBE level of DFT.

Properties
* ΔH_f (0 K): -377 meV/atom
* magnetization: 0.00 μB/f.u.
* relative energy among the computed polymorphs: 74.6 meV/atom
* energy: -5.03 eV/atom

abc: 3.3370 3.3370 6.7461
angles: 104.32 104.32 90.00
Last column: nearest neighbours and their distance in Å.
Positions (direct):
Ga (0.6242, 0.6242, 0.2484)  4 Sc 2.93, 4 Dy 3.11
Sc (0.2614, 0.2614, 0.5228)  4 Ga 2.93
Dy (0.9644, 0.9644, 0.9288)  4 Ga 3.11, 4 Dy 3.34

- What is the energy in the seventh record?
  -4.77 eV/atom